First-principles (GGA+U) data for a relaxed LiMnF3 crystal, as listed in Alexandria.

Energy above the most stable polymorph in this dataset, meV per atom: 0

Unit cell a=5.199 b=5.199 c=4.857 alpha=90.00 beta=90.00 gamma=120.00
Positions (direct):
F (0.689, 0.000, 0.000)
F (0.311, 0.000, 0.500)
F (0.000, 0.689, 0.000)
F (0.689, 0.689, 0.500)
F (0.000, 0.311, 0.500)
F (0.311, 0.311, 0.000)
Li (0.000, 0.000, 0.250)
Li (0.000, 0.000, 0.750)
Mn (0.667, 0.333, 0.250)
Mn (0.333, 0.667, 0.750)